A plane-wave DFT calculation with PBE+U was carried out for FePt2F after structural relaxation.

Structure (POSCAR):
```
FePt2F
1.0
6.0802 0.0000 0.0000
0.0000 6.0802 0.0000
0.0000 0.0000 6.0802
Fe Pt F
4 8 4
direct
0.0000 0.0000 0.0000
0.0000 0.5000 0.5000
0.5000 0.0000 0.5000
0.5000 0.5000 0.0000
0.2500 0.2500 0.2500
0.2500 0.2500 0.7500
0.2500 0.7500 0.2500
0.2500 0.7500 0.7500
0.7500 0.2500 0.2500
0.7500 0.2500 0.7500
0.7500 0.7500 0.2500
0.7500 0.7500 0.7500
0.0000 0.0000 0.5000
0.0000 0.5000 0.0000
0.5000 0.0000 0.0000
0.5000 0.5000 0.5000
```

Output
Spin magnetization, μB/atom: 1.1915
Fermi-level density of states, states/eV/atom: 0.399
E_tot, eV/atom: -4.960